Crystalline Ca9Fe2N8 at its relaxed geometry. Source: Alexandria via LeMat-Bulk, functional PBEsol.

Results
Total energy = -6.39 eV/atom
Formation energy without anion corrections = -0.847 eV per atom
Volume = 317.0 Å³/f.u.
Magnetic moment = 0.250 μB/atom

a b c (Å): 18.2878 4.8867 7.6038
angles (deg): 90.00 111.12 90.00
Last column: nearest neighbours and their distance in Å.
Space group C2/m (No. 12)
One atom of each set of equivalent atoms:
Ca: 0.0000 0.0000 0.0000  2 N 2.27
Ca: 0.0376 0.5000 0.7356  5 N 2.44-2.62
Ca: 0.0881 0.0000 0.4843  4 N 2.33-2.47
Ca: 0.1734 0.0000 0.9503  5 N 2.41-2.61
Ca: 0.1953 0.5000 0.3171  4 N 2.47-2.67
Fe: 0.1919 0.5000 0.6999  3 N 1.71-1.73
N: 0.0376 0.0000 0.7456  6 Ca 2.27-2.47
N: 0.1079 0.5000 0.4996  1 Fe 1.73
N: 0.1816 0.5000 0.9149  1 Fe 1.71
N: 0.2165 0.0000 0.3165  1 Fe 1.72